Entry 1:
# Cs3ErCu2I9 (PBE, relaxed)
data_Cs3ErCu2I9
_chemical_formula_sum 'Cs3 Er1 Cu2 I9'
_cell_length_a 8.2820
_cell_length_b 8.2820
_cell_length_c 10.2634
_cell_angle_alpha 90.00
_cell_angle_beta 90.00
_cell_angle_gamma 120.00
_symmetry_space_group_name_H-M 'P -3 m 1'
_symmetry_Int_Tables_number 164
_symmetry_space_group_name_Hall '-P 3 2"'
loop_
_atom_site_label
_atom_site_fract_x
_atom_site_fract_y
_atom_site_fract_z
_atom_site_occupancy
Cs1 0.0000 0.0000 0.0000 1
Cs2 0.3333 0.6667 0.6662 1
Er1 0.0000 0.0000 0.5000 1
Cu1 0.3333 0.6667 0.1282 1
I1 0.0000 0.5000 0.0000 1
I2 0.1705 0.3409 0.3296 1
# E_form (uncorrected)	-0.981	eV/atom
# mass density	5.0	g/cm3
# N(E_F)	0.4223	states/eV/atom

---

Entry 2:
# Cs2ErCu2S4 (PBE, relaxed)
data_Cs2ErCu2S4
_chemical_formula_sum 'Cs4 Er2 Cu4 S8'
_cell_length_a 14.783
_cell_length_b 3.969
_cell_length_c 8.098
_cell_angle_alpha 90.00
_cell_angle_beta 107.44
_cell_angle_gamma 90.00
_symmetry_space_group_name_H-M 'C 1 2/m 1'
_symmetry_Int_Tables_number 12
_symmetry_space_group_name_Hall '-C 2y'
loop_
_atom_site_label
_atom_site_fract_x
_atom_site_fract_y
_atom_site_fract_z
_atom_site_occupancy
Cs1 0.136 0.000 0.058 1
Er1 0.000 0.000 0.500 1
Cu1 0.178 0.500 0.484 1
S1 0.023 0.500 0.285 1
S2 0.196 0.000 0.645 1
# E_form (uncorrected)	-1.119	eV/atom
# mass density	5.0	g/cm3
# N(E_F)	0.7152	states/eV/atom

---

Entry 3:
# CsEr2Cu3Se5 (PBE, relaxed)
data_CsEr2Cu3Se5
_chemical_formula_sum 'Cs4 Er8 Cu12 Se20'
_cell_length_a 4.125
_cell_length_b 14.704
_cell_length_c 17.324
_cell_angle_alpha 90.00
_cell_angle_beta 90.00
_cell_angle_gamma 90.00
_symmetry_space_group_name_H-M 'C m c m'
_symmetry_Int_Tables_number 63
_symmetry_space_group_name_Hall '-C 2c 2'
loop_
_atom_site_label
_atom_site_fract_x
_atom_site_fract_y
_atom_site_fract_z
_atom_site_occupancy
Cs1 0.000 0.061 0.250 1
Er1 0.000 0.192 0.591 1
Cu1 0.000 0.342 0.250 1
Cu2 0.000 0.416 0.531 1
Se1 0.000 0.169 0.070 1
Se2 0.000 0.239 0.750 1
Se3 0.000 0.438 0.112 1
# E_form (uncorrected)	-1.116	eV/atom
# mass density	6.7	g/cm3

---

Entry 4:
# CsErCuTe2 (PBE, relaxed)
data_CsErCuTe2
_chemical_formula_sum 'Cs2 Er2 Cu2 Te4'
_cell_length_a 8.958
_cell_length_b 4.416
_cell_length_c 8.915
_cell_angle_alpha 90.00
_cell_angle_beta 91.27
_cell_angle_gamma 90.00
_symmetry_space_group_name_H-M 'P 1 2/c 1'
_symmetry_Int_Tables_number 13
_symmetry_space_group_name_Hall '-P 2yc'
loop_
_atom_site_label
_atom_site_fract_x
_atom_site_fract_y
_atom_site_fract_z
_atom_site_occupancy
Cs1 0.000 0.031 0.250 1
Er1 0.500 0.499 0.750 1
Cu1 0.500 0.000 0.000 1
Te1 0.279 0.390 0.995 1
# E_form (uncorrected)	-0.752	eV/atom
# mass density	5.8	g/cm3
# N(E_F)	0.4812	states/eV/atom

---

Entry 5:
# CsErCuTe3 (PBE, relaxed)
data_CsErCuTe3
_chemical_formula_sum 'Cs2 Er2 Cu2 Te6'
_cell_length_a 10.577
_cell_length_b 4.268
_cell_length_c 10.844
_cell_angle_alpha 90.00
_cell_angle_beta 116.57
_cell_angle_gamma 90.00
_symmetry_space_group_name_H-M 'P 1 21/m 1'
_symmetry_Int_Tables_number 11
_symmetry_space_group_name_Hall '-P 2yb'
loop_
_atom_site_label
_atom_site_fract_x
_atom_site_fract_y
_atom_site_fract_z
_atom_site_occupancy
Cs1 0.220 0.250 0.244 1
Er1 0.322 0.750 0.854 1
Cu1 0.084 0.250 0.595 1
Te1 0.117 0.250 0.850 1
Te2 0.195 0.750 0.536 1
Te3 0.480 0.750 0.168 1
# E_form (uncorrected)	-0.926	eV/atom
# mass density	5.7	g/cm3
# N(E_F)	0.4438	states/eV/atom

---

Entry 6:
# Cs2CuF4 (PBE, relaxed)
data_Cs2CuF4
_chemical_formula_sum 'Cs4 Cu2 F8'
_cell_length_a 6.673
_cell_length_b 6.673
_cell_length_c 7.968
_cell_angle_alpha 90.00
_cell_angle_beta 90.00
_cell_angle_gamma 90.00
_symmetry_space_group_name_H-M 'I 4/m m m'
_symmetry_Int_Tables_number 139
_symmetry_space_group_name_Hall '-I 4 2'
loop_
_atom_site_label
_atom_site_fract_x
_atom_site_fract_y
_atom_site_fract_z
_atom_site_occupancy
Cs1 0.000 0.500 0.250 1
Cu1 0.000 0.000 0.000 1
F1 0.202 0.202 0.000 1
# distance to the lowest polymorph of the same formula	0	meV per atom
# E_form (uncorrected)	-2.275	eV/atom
# mass density	3.8	g/cm3